{
  "formula": "TiCdSn2Au",
  "functional": "PBE",
  "state": "relaxed",
  "lattice": [[-4.696, -2.497, 0.753], [2.435, -4.064, 1.708], [-0.239, 1.957, 4.997]],
  "species": ["Ti", "Sn", "Sn", "Au", "Cd"],
  "fractional_positions": [[0.500, 0.500, 0.500], [0.000, 0.000, 0.500], [0.500, 0.000, 0.000], [0.000, 0.500, 0.000], [0.000, 0.000, 0.000]],
  "formation_enthalpy_0k_ev_per_atom": 0.93,
  "dos_ef_per_ev_atom": 1.29,
  "m_tot_mub_per_cell": 0.00,
  "e_tot_ev_per_atom": -3.09
}